Compound: LiZnPW2
Source: Alexandria
Functional: PBEsol
Structure: relaxed Values from VASP.

Structure (Quantum ESPRESSO input):
```
&SYSTEM
  ibrav = 0, nat = 5, ntyp = 4
/
ATOMIC_SPECIES
W 183.84 W.upf
Li 6.94 Li.upf
Zn 65.41 Zn.upf
P 30.97 P.upf
CELL_PARAMETERS angstrom
4.4395 0.0000 0.0000
0.0000 4.4395 0.0000
0.0000 0.0000 4.4770
ATOMIC_POSITIONS angstrom
W 2.2197 0.0000 0.0000
W 0.0000 2.2197 0.0000
Li 2.2197 2.2197 2.2385
Zn 0.0000 0.0000 2.2385
P 0.0000 0.0000 0.0000
```

Values from the calculation:
ΔH_f (0 K)   932 meV per atom
Density of states at the Fermi level   1.9 states/eV/f.u.
Raw total energy   -6.4587 eV/atom

Compound: ZnAsBr2N
Source: Alexandria
Functional: PBEsol
Structure: relaxed Values from VASP.

Structure (Quantum ESPRESSO input):
```
&SYSTEM
  ibrav = 0, nat = 5, ntyp = 4
/
ATOMIC_SPECIES
Br 79.90 Br.upf
N 14.01 N.upf
Zn 65.41 Zn.upf
As 74.92 As.upf
CELL_PARAMETERS angstrom
-0.2045 -4.8961 0.1539
4.6197 -0.1276 2.0806
-2.0737 0.2318 4.6188
ATOMIC_POSITIONS angstrom
Br 2.3099 -0.0638 1.0403
Br -1.0369 0.1159 2.3094
N 1.1707 -2.3959 3.4266
Zn 0.0000 0.0000 0.0000
As -0.1022 -2.4481 0.0770
```

Values from the calculation:
Density of states at the Fermi level   2.5 states/eV/f.u.
Formation energy from raw total energies   1.201 eV per atom
Raw total energy   -2.5902 eV/atom

Compound: K2MgV2O7
Source: Alexandria
Functional: PBEsol
Structure: relaxed Values from VASP.

Structure (Quantum ESPRESSO input):
```
&SYSTEM
  ibrav = 0, nat = 48, ntyp = 4
/
ATOMIC_SPECIES
Mg 24.30 Mg.upf
O 16.00 O.upf
K 39.10 K.upf
V 50.94 V.upf
CELL_PARAMETERS angstrom
-6.3186 -2.1701 -5.0597
-1.6479 -6.6036 4.8901
-7.0839 6.3135 6.1386
ATOMIC_POSITIONS angstrom
Mg -2.5949 -1.7234 3.9797
Mg -4.9303 0.4933 -0.9952
Mg -6.1368 1.4333 7.0490
Mg -8.4722 3.6501 2.0741
O -12.2684 1.2127 2.1589
O -10.3975 3.2732 2.1988
O -4.6529 -5.7334 3.7702
O -11.1809 -0.2120 5.1542
O -3.8694 -2.2482 0.8147
O -8.6163 -3.5071 0.8243
O -5.3228 0.1201 0.8945
O -7.6577 0.6726 8.0351
O -4.8385 -3.7217 5.6797
O -1.0905 0.9719 0.9450
O -7.3927 -3.1328 -2.0662
O -10.2118 1.2615 0.2892
O -9.7275 -2.5803 5.0745
O -6.1179 -4.7244 0.7668
O -9.5286 -1.3879 7.9953
O -5.5217 -1.0723 -2.0264
O -6.4340 1.0469 5.1446
O -7.5309 2.0881 2.8079
O -6.4347 -2.2020 2.0395
O -4.2259 -0.9211 3.2311
O -6.8593 -1.9207 7.4308
O -8.9325 2.2642 5.2021
O -2.7820 -3.6729 3.8100
O -8.6156 -0.2582 3.9294
O -7.5194 -4.5483 3.1610
O -10.8244 -1.5391 2.7378
O -5.9934 5.3416 5.1936
O -8.1910 -0.5395 -1.4619
K -8.3719 -0.4264 1.1808
K -3.2989 -5.0364 1.3729
K -6.5224 -7.1832 -0.1389
K -6.6785 -2.0338 4.7881
K -4.6676 -3.7373 -1.5426
K -4.7091 1.8713 3.0444
K -10.3412 -4.3315 2.9245
K -1.4441 -1.5904 -0.0308
V -7.1614 -3.8068 1.6656
V -10.1498 -1.1434 4.2552
V -7.9003 -0.9927 8.3220
V -7.1500 -1.4675 -2.3530
V -7.8889 1.3466 4.3033
V -3.8048 -4.6428 4.7730
V -11.2455 2.1826 1.1960
V -4.9005 -1.3168 1.7137
```

Values from the calculation:
Density of states at the Fermi level   0.0 states/eV/f.u.
Formation energy from raw total energies   -2.429 eV per atom
Raw total energy   -7.4292 eV/atom

Compound: BaZr2Mo
Source: Alexandria
Functional: PBEsol
Structure: relaxed Values from VASP.

Structure (Quantum ESPRESSO input):
```
&SYSTEM
  ibrav = 0, nat = 4, ntyp = 3
/
ATOMIC_SPECIES
Zr 91.22 Zr.upf
Ba 137.33 Ba.upf
Mo 95.94 Mo.upf
CELL_PARAMETERS angstrom
-3.5667 2.0786 -2.8333
-3.0080 -2.8966 -2.7624
-4.8181 -0.5231 1.2575
ATOMIC_POSITIONS angstrom
Zr -8.5446 -1.0058 -3.2536
Zr -2.8482 -0.3353 -1.0845
Ba -5.6964 -0.6706 -2.1691
Mo 0.0000 0.0000 0.0000
```

Values from the calculation:
ΔH_f (0 K)   754 meV per atom
Excess energy over the best structure of this formula in the dataset   0.143 eV per atom
Density of states at the Fermi level   6.2 states/eV/f.u.
Raw total energy   -7.2701 eV/atom